[1]
An optimized crystal structure of NaDyCo4. Source: the Alexandria database, functional GGA-PBE.

Summary:
**Formation enthalpy at 0 K**: 0.10 eV/atom
**Calculated density**: 7.80 Mg/m³
**Symmetry**: F-43m, No. 216

a = 5.0235 Å, b = 5.0235 Å, c = 5.0235 Å
α = 60.00°, β = 60.00°, γ = 60.00°
Each line ends with the local moment (μB).
Fractional positions:
Co (0.6249, 0.1253, 0.6249)  1.55
Co (0.6249, 0.6249, 0.6249)  1.55
Co (0.1253, 0.6249, 0.6249)  1.55
Co (0.6249, 0.6249, 0.1253)  1.55
Na (0.0000, 0.0000, 0.0000)  -0.02
Dy (0.2500, 0.2500, 0.2500)  -0.39

[2]
An optimized crystal structure of NaDy3Co. Source: the Alexandria database, functional GGA-PBE.

Summary:
**Formation enthalpy at 0 K**: 0.02 eV/atom
**Calculated density**: 6.39 Mg/m³
**Symmetry**: Pm-3m, No. 221

a = 5.2899 Å, b = 5.2899 Å, c = 5.2899 Å
α = 90.00°, β = 90.00°, γ = 90.00°
Fractional positions:
Co (0.0000, 0.0000, 0.0000)
Na (0.5000, 0.5000, 0.5000)
Dy (0.0000, 0.5000, 0.0000)
Dy (0.5000, 0.0000, 0.0000)
Dy (0.0000, 0.0000, 0.5000)

[3]
An optimized crystal structure of Dy2NbCo. Source: the Alexandria database, functional GGA-PBE.

Summary:
**Formation enthalpy at 0 K**: 0.57 eV/atom
**Calculated density**: 8.90 Mg/m³
**Symmetry**: R-3m, No. 166

a = 3.2280 Å, b = 3.2280 Å, c = 10.0356 Å
α = 80.75°, β = 80.75°, γ = 60.00°
Each line ends with the local moment (μB).
Fractional positions:
Dy (0.8990, 0.8990, 0.3031)  0.01
Dy (0.1010, 0.1010, 0.6969)  0.01
Co (0.5000, 0.5000, 0.5000)  0.24
Nb (0.0000, 0.0000, 0.0000)  0.58

[4]
An optimized crystal structure of DyNbCo2. Source: the Alexandria database, functional GGA-PBE.

Summary:
**Formation enthalpy at 0 K**: -0.10 eV/atom
**Energy above the most stable polymorph in this dataset**: 0 meV per atom
**Calculated density**: 9.38 Mg/m³
**Symmetry**: P4/mmm, No. 123

a = 3.1235 Å, b = 3.1235 Å, c = 6.7704 Å
α = 90.00°, β = 90.00°, γ = 90.00°
Fractional positions:
Co (0.0000, 0.0000, 0.2003)
Co (0.0000, 0.0000, 0.7997)
Dy (0.5000, 0.5000, 0.5000)
Nb (0.5000, 0.5000, 0.0000)

[5]
An optimized crystal structure of DyNbCo2. Source: the Alexandria database, functional GGA-PBE.

Summary:
**Formation enthalpy at 0 K**: 0.02 eV/atom
**Energy above the most stable polymorph in this dataset**: 120 meV per atom
**Calculated density**: 9.51 Mg/m³
**Symmetry**: P4/mmm, No. 123

a = 3.0948 Å, b = 4.5886 Å, c = 4.5886 Å
α = 90.00°, β = 90.00°, γ = 90.00°
Each line ends with the local moment (μB).
Fractional positions:
Co (0.0000, 0.0000, 0.5000)  0.89
Co (0.0000, 0.5000, 0.0000)  0.89
Nb (0.5000, 0.5000, 0.5000)  0.07
Dy (0.5000, 0.0000, 0.0000)  -0.20

[6]
An optimized crystal structure of DyNbCo2. Source: the Alexandria database, functional GGA-PBE.

Summary:
**Formation enthalpy at 0 K**: -0.07 eV/atom
**Energy above the most stable polymorph in this dataset**: 39 meV per atom
**Calculated density**: 8.67 Mg/m³
**Symmetry**: R-3m, No. 166

a = 4.1666 Å, b = 4.1666 Å, c = 5.3314 Å
α = 67.00°, β = 67.00°, γ = 60.00°
Fractional positions:
Co (0.7932, 0.7932, 0.6205)
Co (0.2068, 0.2068, 0.3795)
Dy (0.0000, 0.0000, 0.0000)
Nb (0.5000, 0.5000, 0.5000)

[7]
An optimized crystal structure of DyNbCo4. Source: the Alexandria database, functional GGA-PBE.

Summary:
**Formation enthalpy at 0 K**: -0.09 eV/atom
**Calculated density**: 9.80 Mg/m³
**Symmetry**: F-43m, No. 216

a = 4.9002 Å, b = 4.9002 Å, c = 4.9002 Å
α = 60.00°, β = 60.00°, γ = 60.00°
Each line ends with the local moment (μB).
Fractional positions:
Nb (0.2500, 0.2500, 0.2500)  -0.35
Co (0.6252, 0.1243, 0.6252)  0.61
Co (0.1243, 0.6252, 0.6252)  0.61
Co (0.6252, 0.6252, 0.6252)  0.61
Co (0.6252, 0.6252, 0.1243)  0.61
Dy (0.0000, 0.0000, 0.0000)  -0.17

[8]
An optimized crystal structure of DyNbCoRu. Source: the Alexandria database, functional GGA-PBE.

Summary:
**Formation enthalpy at 0 K**: -0.12 eV/atom
**Calculated density**: 10.09 Mg/m³
**Symmetry**: F-43m, No. 216

a = 4.5892 Å, b = 4.5892 Å, c = 4.5892 Å
α = 60.00°, β = 60.00°, γ = 60.00°
Each line ends with the local moment (μB).
Fractional positions:
Ru (0.5000, 0.5000, 0.5000)  0.10
Nb (0.2500, 0.2500, 0.2500)  -0.06
Co (0.0000, 0.0000, 0.0000)  1.02
Dy (0.7500, 0.7500, 0.7500)  -0.09

[9]
An optimized crystal structure of NdDy4Co4. Source: the Alexandria database, functional GGA-PBE.

Summary:
**Formation enthalpy at 0 K**: -0.04 eV/atom
**Calculated density**: 8.54 Mg/m³
**Symmetry**: P4_2/n, No. 86

a = 5.5584 Å, b = 8.4895 Å, c = 8.4895 Å
α = 90.00°, β = 90.00°, γ = 90.00°
Fractional positions:
Co (0.3681, 0.3596, 0.2325)
Co (0.6319, 0.7675, 0.3596)
Co (0.8681, 0.2675, 0.8596)
Co (0.1319, 0.8596, 0.7325)
Co (0.6319, 0.2325, 0.6404)
Co (0.3681, 0.6404, 0.7675)
Co (0.8681, 0.7325, 0.1404)
Co (0.1319, 0.1404, 0.2675)
Dy (0.6155, 0.0779, 0.3150)
Dy (0.1155, 0.8150, 0.4221)
Dy (0.8845, 0.4221, 0.1850)
Dy (0.1155, 0.1850, 0.5779)
Dy (0.6155, 0.9221, 0.6850)
Dy (0.8845, 0.5779, 0.8150)
Dy (0.3845, 0.6850, 0.0779)
Dy (0.3845, 0.3150, 0.9221)
Nd (0.5000, 0.5000, 0.5000)
Nd (0.0000, 0.0000, 0.0000)

[10]
An optimized crystal structure of NdDy2Co. Source: the Alexandria database, functional GGA-PBE.

Summary:
**Formation enthalpy at 0 K**: -0.13 eV/atom
**Energy above the most stable polymorph in this dataset**: 0 meV per atom
**Calculated density**: 8.30 Mg/m³
**Symmetry**: Pnma, No. 62

a = 6.3582 Å, b = 6.9780 Å, c = 9.5219 Å
α = 90.00°, β = 90.00°, γ = 90.00°
Fractional positions:
Co (0.0618, 0.3861, 0.2500)
Co (0.5618, 0.1139, 0.7500)
Co (0.9382, 0.6139, 0.7500)
Co (0.4382, 0.8861, 0.2500)
Nd (0.6397, 0.5438, 0.2500)
Nd (0.1396, 0.9562, 0.7500)
Nd (0.8604, 0.0438, 0.2500)
Nd (0.3604, 0.4562, 0.7500)
Dy (0.3238, 0.1710, 0.0692)
Dy (0.3238, 0.1710, 0.4308)
Dy (0.8238, 0.3290, 0.9308)
Dy (0.6762, 0.8290, 0.5692)
Dy (0.1762, 0.6710, 0.0692)
Dy (0.8238, 0.3290, 0.5692)
Dy (0.1762, 0.6710, 0.4308)
Dy (0.6762, 0.8290, 0.9308)

[11]
An optimized crystal structure of NdDy3Co8. Source: the Alexandria database, functional GGA-PBE.

Summary:
**Formation enthalpy at 0 K**: -0.16 eV/atom
**Calculated density**: 9.79 Mg/m³
**Symmetry**: R3m, No. 160

a = 5.0923 Å, b = 5.0923 Å, c = 8.8329 Å
α = 73.25°, β = 73.25°, γ = 60.00°
Each line ends with the local moment (μB).
Fractional positions:
Dy (0.0002, 0.0002, 0.9995)  -0.34
Dy (0.3752, 0.3752, 0.8745)  -0.34
Dy (0.4998, 0.4998, 0.5007)  -0.34
Co (0.4329, 0.9378, 0.6914)  1.15
Co (0.9409, 0.4379, 0.1832)  1.14
Co (0.4379, 0.4379, 0.1832)  1.14
Co (0.9378, 0.4329, 0.6914)  1.15
Co (0.1871, 0.1871, 0.4388)  1.11
Co (0.6876, 0.6876, 0.9371)  1.18
Co (0.4379, 0.9409, 0.1832)  1.14
Co (0.9378, 0.9378, 0.6914)  1.15
Nd (0.8749, 0.8749, 0.3754)  -0.21

[12]
An optimized crystal structure of NdDyCo2. Source: the Alexandria database, functional GGA-PBE.

Summary:
**Formation enthalpy at 0 K**: -0.12 eV/atom
**Energy above the most stable polymorph in this dataset**: 0 meV per atom
**Calculated density**: 8.38 Mg/m³
**Symmetry**: Pmc2_1, No. 26

a = 3.8892 Å, b = 5.6776 Å, c = 7.6221 Å
α = 90.00°, β = 90.00°, γ = 90.00°
Each line ends with the local moment (μB).
Fractional positions:
Co (0.5000, 0.8319, 0.4744)  0.30
Co (0.0000, 0.6400, 0.5296)  0.31
Co (0.0000, 0.3600, 0.0296)  0.31
Co (0.5000, 0.1681, 0.9744)  0.30
Nd (0.0000, 0.1315, 0.6764)  -0.06
Nd (0.0000, 0.8685, 0.1764)  -0.06
Dy (0.5000, 0.3702, 0.3196)  -0.10
Dy (0.5000, 0.6298, 0.8196)  -0.10

[13]
An optimized crystal structure of NdDy3Co. Source: the Alexandria database, functional GGA-PBE.

Summary:
**Formation enthalpy at 0 K**: -0.02 eV/atom
**Energy above the most stable polymorph in this dataset**: 72 meV per atom
**Calculated density**: 7.70 Mg/m³
**Symmetry**: Pm-3m, No. 221

a = 5.3013 Å, b = 5.3013 Å, c = 5.3013 Å
α = 90.00°, β = 90.00°, γ = 90.00°
Each line ends with the local moment (μB).
Fractional positions:
Dy (0.0000, 0.5000, 0.0000)  0.06
Dy (0.5000, 0.0000, 0.0000)  0.06
Dy (0.0000, 0.0000, 0.5000)  0.06
Nd (0.5000, 0.5000, 0.5000)  0.14
Co (0.0000, 0.0000, 0.0000)  0.05

[14]
An optimized crystal structure of NdDyCo3. Source: the Alexandria database, functional GGA-PBE.

Summary:
**Formation enthalpy at 0 K**: -0.14 eV/atom
**Calculated density**: 8.41 Mg/m³
**Symmetry**: Cmcm, No. 63

a = 3.9184 Å, b = 4.1831 Å, c = 11.8315 Å
α = 100.18°, β = 90.00°, γ = 90.00°
Each line ends with the local moment (μB).
Fractional positions:
Co (0.2500, 0.4757, 0.9513)  0.88
Co (0.7500, 0.6227, 0.2453)  0.84
Co (0.7500, 0.5243, 0.0487)  0.88
Co (0.7500, 0.3303, 0.6607)  0.69
Co (0.2500, 0.6697, 0.3393)  0.69
Co (0.2500, 0.3773, 0.7547)  0.84
Dy (0.2500, 0.7942, 0.5885)  -0.20
Dy (0.7500, 0.2058, 0.4115)  -0.20
Nd (0.2500, 0.0714, 0.1428)  -0.10
Nd (0.7500, 0.9286, 0.8572)  -0.10

[15]
An optimized crystal structure of Nd3DyCo8. Source: the Alexandria database, functional GGA-PBE.

Summary:
**Formation enthalpy at 0 K**: -0.07 eV/atom
**Calculated density**: 9.17 Mg/m³
**Symmetry**: R3m, No. 160

a = 5.1473 Å, b = 5.1473 Å, c = 8.9245 Å
α = 73.24°, β = 73.24°, γ = 60.00°
Each line ends with the local moment (μB).
Fractional positions:
Co (0.9370, 0.9370, 0.6836)  1.12
Co (0.9370, 0.4424, 0.6836)  1.12
Co (0.4424, 0.9370, 0.6836)  1.12
Co (0.1880, 0.1880, 0.4360)  1.16
Co (0.9340, 0.4372, 0.1916)  1.14
Co (0.4372, 0.9340, 0.1916)  1.14
Co (0.4372, 0.4372, 0.1916)  1.14
Co (0.6873, 0.6873, 0.9380)  1.09
Dy (0.8752, 0.8752, 0.3744)  -0.33
Nd (0.3748, 0.3748, 0.8756)  -0.21
Nd (0.5000, 0.5000, 0.5001)  -0.20
Nd (0.9999, 0.9999, 0.0003)  -0.21

[16]
An optimized crystal structure of NdDy2Co. Source: the Alexandria database, functional GGA-PBE.

Summary:
**Formation enthalpy at 0 K**: -0.11 eV/atom
**Energy above the most stable polymorph in this dataset**: 23 meV per atom
**Calculated density**: 8.26 Mg/m³
**Symmetry**: Cmcm, No. 63

a = 3.6655 Å, b = 6.3552 Å, c = 9.5206 Å
α = 90.00°, β = 90.00°, γ = 106.72°
Fractional positions:
Dy (0.3577, 0.7161, 0.9268)
Dy (0.6423, 0.2839, 0.4268)
Dy (0.6423, 0.2839, 0.0732)
Dy (0.3577, 0.7161, 0.5732)
Nd (0.9161, 0.8327, 0.2500)
Nd (0.0839, 0.1673, 0.7500)
Co (0.7568, 0.5135, 0.7500)
Co (0.2432, 0.4865, 0.2500)

[17]
An optimized crystal structure of NdDy2Co9. Source: the Alexandria database, functional GGA-PBE.

Summary:
**Formation enthalpy at 0 K**: -0.14 eV/atom
**Calculated density**: 9.39 Mg/m³
**Symmetry**: R-3m, No. 166

a = 5.0192 Å, b = 5.0192 Å, c = 8.6084 Å
α = 73.05°, β = 73.05°, γ = 60.00°
Each line ends with the local moment (μB).
Fractional positions:
Dy (0.1402, 0.1402, 0.5793)  -0.41
Dy (0.8598, 0.8598, 0.4207)  -0.41
Co (0.5837, 0.0788, 0.7537)  1.29
Co (0.6649, 0.6649, 0.0052)  1.48
Co (0.5837, 0.5837, 0.7537)  1.29
Co (0.9212, 0.4163, 0.2463)  1.29
Co (0.0788, 0.5837, 0.7537)  1.29
Co (0.4163, 0.4163, 0.2463)  1.29
Co (0.3351, 0.3351, 0.9948)  1.48
Co (0.4163, 0.9212, 0.2463)  1.29
Co (0.5000, 0.5000, 0.5000)  1.25
Nd (0.0000, 0.0000, 0.0000)  -0.21

[18]
An optimized crystal structure of NdDy2Co. Source: the Alexandria database, functional GGA-PBE.

Summary:
**Formation enthalpy at 0 K**: 0.12 eV/atom
**Energy above the most stable polymorph in this dataset**: 255 meV per atom
**Calculated density**: 7.37 Mg/m³
**Symmetry**: R-3m, No. 166

a = 3.6447 Å, b = 3.6447 Å, c = 10.5528 Å
α = 80.06°, β = 80.06°, γ = 60.00°
Fractional positions:
Nd (0.0000, 0.0000, 0.0000)
Dy (0.8842, 0.8842, 0.3475)
Dy (0.1158, 0.1158, 0.6525)
Co (0.5000, 0.5000, 0.5000)

[19]
An optimized crystal structure of NdDy3Co. Source: the Alexandria database, functional GGA-PBE.

Summary:
**Formation enthalpy at 0 K**: -0.06 eV/atom
**Energy above the most stable polymorph in this dataset**: 37 meV per atom
**Calculated density**: 7.90 Mg/m³
**Symmetry**: P2_1/c, No. 14

a = 6.4608 Å, b = 9.3907 Å, c = 9.7383 Å
α = 100.66°, β = 90.00°, γ = 90.00°
Fractional positions:
Dy (0.4117, 0.9434, 0.8235)
Dy (0.9117, 0.0566, 0.6765)
Dy (0.9179, 0.8056, 0.9245)
Dy (0.5852, 0.3214, 0.9464)
Dy (0.0883, 0.9434, 0.3235)
Dy (0.5883, 0.0566, 0.1765)
Dy (0.0821, 0.1944, 0.0755)
Dy (0.9148, 0.3214, 0.4464)
Dy (0.4148, 0.6786, 0.0536)
Dy (0.4179, 0.1944, 0.5755)
Dy (0.0852, 0.6786, 0.5536)
Dy (0.5821, 0.8056, 0.4245)
Nd (0.0752, 0.4331, 0.8171)
Nd (0.4248, 0.4331, 0.3171)
Nd (0.5752, 0.5669, 0.6829)
Nd (0.9248, 0.5669, 0.1829)
Co (0.7351, 0.0710, 0.4313)
Co (0.2351, 0.9290, 0.0687)
Co (0.7649, 0.0710, 0.9313)
Co (0.2649, 0.9290, 0.5687)

[20]
An optimized crystal structure of NdDyCo2. Source: the Alexandria database, functional GGA-PBE.

Summary:
**Formation enthalpy at 0 K**: -0.03 eV/atom
**Energy above the most stable polymorph in this dataset**: 91 meV per atom
**Calculated density**: 8.92 Mg/m³
**Symmetry**: P4/mmm, No. 123

a = 3.4075 Å, b = 3.4075 Å, c = 6.8111 Å
α = 90.00°, β = 90.00°, γ = 90.00°
Each line ends with the local moment (μB).
Fractional positions:
Dy (0.5000, 0.5000, 0.0000)  -0.26
Co (0.0000, 0.0000, 0.7614)  0.79
Co (0.0000, 0.0000, 0.2386)  0.79
Nd (0.5000, 0.5000, 0.5000)  -0.16

[21]
An optimized crystal structure of Nd2DyCo9. Source: the Alexandria database, functional GGA-PBE.

Summary:
**Formation enthalpy at 0 K**: -0.08 eV/atom
**Calculated density**: 9.06 Mg/m³
**Symmetry**: R-3m, No. 166

a = 5.0008 Å, b = 5.0008 Å, c = 8.7960 Å
α = 73.49°, β = 73.49°, γ = 60.00°
Each line ends with the local moment (μB).
Fractional positions:
Nd (0.8606, 0.8606, 0.4182)  -0.25
Nd (0.1394, 0.1394, 0.5818)  -0.25
Co (0.9189, 0.4227, 0.2357)  1.30
Co (0.4227, 0.9189, 0.2357)  1.30
Co (0.6667, 0.6667, 0.9999)  1.46
Co (0.0811, 0.5773, 0.7643)  1.30
Co (0.5000, 0.5000, 0.5000)  1.04
Co (0.4227, 0.4227, 0.2357)  1.30
Co (0.5773, 0.0811, 0.7643)  1.30
Co (0.3333, 0.3333, 0.0001)  1.46
Co (0.5773, 0.5773, 0.7643)  1.30
Dy (0.0000, 0.0000, 0.0000)  -0.32

[22]
An optimized crystal structure of NdDy2Co. Source: the Alexandria database, functional GGA-PBE.

Summary:
**Formation enthalpy at 0 K**: -0.02 eV/atom
**Energy above the most stable polymorph in this dataset**: 107 meV per atom
**Calculated density**: 7.76 Mg/m³
**Symmetry**: R3m, No. 160

a = 3.7979 Å, b = 3.7979 Å, c = 9.3063 Å
α = 78.23°, β = 78.23°, γ = 60.00°
Fractional positions:
Dy (0.0546, 0.0546, 0.8361)
Dy (0.2777, 0.2777, 0.1668)
Nd (0.5014, 0.5014, 0.4957)
Co (0.6662, 0.6662, 0.0014)

[23]
An optimized crystal structure of Nd4DyCo4. Source: the Alexandria database, functional GGA-PBE.

Summary:
**Formation enthalpy at 0 K**: 0.02 eV/atom
**Calculated density**: 7.67 Mg/m³
**Symmetry**: P4_2/n, No. 86

a = 5.7962 Å, b = 8.5325 Å, c = 8.5325 Å
α = 90.00°, β = 90.00°, γ = 90.00°
Fractional positions:
Nd (0.3791, 0.6954, 0.0728)
Nd (0.3791, 0.3046, 0.9272)
Nd (0.6209, 0.9272, 0.6954)
Nd (0.1209, 0.1954, 0.5728)
Nd (0.1209, 0.8046, 0.4272)
Nd (0.8791, 0.5728, 0.8046)
Nd (0.8791, 0.4272, 0.1954)
Nd (0.6209, 0.0728, 0.3046)
Co (0.8547, 0.2599, 0.8636)
Co (0.3547, 0.6364, 0.7599)
Co (0.1453, 0.8636, 0.7401)
Co (0.8547, 0.7401, 0.1364)
Co (0.3547, 0.3636, 0.2401)
Co (0.6453, 0.2401, 0.6364)
Co (0.1453, 0.1364, 0.2599)
Co (0.6453, 0.7599, 0.3636)
Dy (0.0000, 0.0000, 0.0000)
Dy (0.5000, 0.5000, 0.5000)